# VFe3I | Alexandria | PBE | optimized geometry
data_VFe3I
_cell_length_a 4.460
_cell_length_b 4.460
_cell_length_c 4.460
_cell_angle_alpha 90.00
_cell_angle_beta 90.00
_cell_angle_gamma 90.00
_symmetry_space_group_name_H-M 'P m -3 m'
_symmetry_Int_Tables_number 221
_symmetry_space_group_name_Hall '-P 4 2 3'
loop_
_atom_site_label
_atom_site_fract_x
_atom_site_fract_y
_atom_site_fract_z
_atom_site_occupancy
V1 0.000 0.000 0.000 1
Fe1 0.000 0.000 0.500 1
I1 0.500 0.500 0.500 1
# VASP energy, eV/atom: -5.961
# V, Å³/cell: 88.7
# ΔE_f (raw), eV/atom: 1.250
# DOS at the Fermi energy, states/eV/f.u.: 6.2
# Offset from the most stable computed form, kJ/mol of atoms: 0.0


# Li3TaSi | Alexandria | PBE | optimized geometry
data_Li3TaSi
_cell_length_a 4.290
_cell_length_b 4.290
_cell_length_c 4.290
_cell_angle_alpha 90.00
_cell_angle_beta 90.00
_cell_angle_gamma 90.00
_symmetry_space_group_name_H-M 'P m -3 m'
_symmetry_Int_Tables_number 221
_symmetry_space_group_name_Hall '-P 4 2 3'
loop_
_atom_site_label
_atom_site_fract_x
_atom_site_fract_y
_atom_site_fract_z
_atom_site_occupancy
Li1 0.000 0.000 0.500 1
Ta1 0.500 0.500 0.500 1
Si1 0.000 0.000 0.000 1
# VASP energy, eV/atom: -3.671
# V, Å³/cell: 78.9
# ΔE_f (raw), eV/atom: 0.932
# DOS at the Fermi energy, states/eV/f.u.: 3.2
# Offset from the most stable computed form, kJ/mol of atoms: 0.0


# Ho3Ag2Pd2 | Alexandria | PBE | optimized geometry
data_Ho3Ag2Pd2
_cell_length_a 3.984
_cell_length_b 21.442
_cell_length_c 3.659
_cell_angle_alpha 90.00
_cell_angle_beta 90.00
_cell_angle_gamma 90.00
_symmetry_space_group_name_H-M 'C m m m'
_symmetry_Int_Tables_number 65
_symmetry_space_group_name_Hall '-C 2 2'
loop_
_atom_site_label
_atom_site_fract_x
_atom_site_fract_y
_atom_site_fract_z
_atom_site_occupancy
Ho1 0.000 0.000 0.000 1
Ho2 0.000 0.167 0.000 1
Ag1 0.000 0.427 0.500 1
Pd1 0.000 0.293 0.500 1
# VASP energy, eV/atom: -4.840
# V, Å³/cell: 312.6
# E_form, eV per formula unit: -4.06
# DOS at the Fermi energy, states/eV/f.u.: 4.3


# FeRuW4 | Alexandria | PBE | optimized geometry
data_FeRuW4
_cell_length_a 7.332
_cell_length_b 7.332
_cell_length_c 7.332
_cell_angle_alpha 90.00
_cell_angle_beta 90.00
_cell_angle_gamma 90.00
_symmetry_space_group_name_H-M 'F -4 3 m'
_symmetry_Int_Tables_number 216
_symmetry_space_group_name_Hall 'F -4 2 3'
loop_
_atom_site_label
_atom_site_fract_x
_atom_site_fract_y
_atom_site_fract_z
_atom_site_occupancy
Fe1 0.000 0.000 0.000 1
Ru1 0.250 0.250 0.750 1
W1 0.126 0.126 0.374 1
# VASP energy, eV/atom: -11.000
# V, Å³/cell: 394.2
# E_form, eV per formula unit: 3.55
# DOS at the Fermi energy, states/eV/f.u.: 5.4


# LaNi2Ir | Alexandria | PBE | optimized geometry
data_LaNi2Ir
_cell_length_a 3.030
_cell_length_b 4.304
_cell_length_c 5.472
_cell_angle_alpha 90.00
_cell_angle_beta 103.43
_cell_angle_gamma 90.00
_symmetry_space_group_name_H-M 'P 1 2/m 1'
_symmetry_Int_Tables_number 10
_symmetry_space_group_name_Hall '-P 2y'
loop_
_atom_site_label
_atom_site_fract_x
_atom_site_fract_y
_atom_site_fract_z
_atom_site_occupancy
La1 0.000 0.000 0.000 1
Ni1 0.298 0.500 0.681 1
Ir1 0.500 0.000 0.500 1
# VASP energy, eV/atom: -6.309
# V, Å³/cell: 69.4
# E_form, eV per formula unit: 0.11
# DOS at the Fermi energy, states/eV/f.u.: 4.9


# NaCrP2S | Alexandria | PBE | optimized geometry
data_NaCrP2S
_cell_length_a 4.336
_cell_length_b 4.336
_cell_length_c 5.168
_cell_angle_alpha 90.00
_cell_angle_beta 90.00
_cell_angle_gamma 90.00
_symmetry_space_group_name_H-M 'P 4/m m m'
_symmetry_Int_Tables_number 123
_symmetry_space_group_name_Hall '-P 4 2'
loop_
_atom_site_label
_atom_site_fract_x
_atom_site_fract_y
_atom_site_fract_z
_atom_site_occupancy
Na1 0.000 0.000 0.000 1
Cr1 0.500 0.500 0.500 1
P1 0.000 0.500 0.500 1
S1 0.500 0.500 0.000 1
# VASP energy, eV/atom: -5.145
# V, Å³/cell: 97.1
# ΔE_f (raw), eV/atom: 0.033
# DOS at the Fermi energy, states/eV/f.u.: 5.0
# Offset from the most stable computed form, kJ/mol of atoms: 0.0